Here is crystalline Sr2ScIr at its relaxed geometry from Alexandria via LeMat-Bulk. Energies are from PBE.

## Properties
**Density of states at the Fermi level**: 2.06 states/eV per cell
**Size of the total moment**: 0.0 Bohr magnetons per cell
**Energy relative to the lowest polymorph listed for this composition**: 0.02 eV/f.u.
**E_form**: -0.266 eV/atom
**Space group**: Cm (8)

Lattice parameters (Å, degrees): 4.4465 4.4465 8.8366 75.53 75.53 59.91
Atoms (fractional coordinates):
Sr 0.7850 0.7850 0.6487
Sc 0.2081 0.2081 0.3750
Sr 0.9656 0.9656 0.1017
Ir 0.5413 0.5413 0.3746